# PuNbAs2 (PBE, relaxed)
# ΔE to the lowest computed polymorph: 151.3 meV per atom
# formation energy from the elements: -609 meV per atom
# calculated density: 10.5 g/cm3
data_PuNbAs2
_cell_length_a 3.303
_cell_length_b 3.303
_cell_length_c 7.073
_cell_angle_alpha 90.00
_cell_angle_beta 90.00
_cell_angle_gamma 90.00
_space_group_name_H-M_alt 'P 4/m m m'
_space_group_IT_number 123
_space_group_name_Hall '-P 4 2'
loop_
_atom_site_label
_atom_site_type_symbol
_atom_site_fract_x
_atom_site_fract_y
_atom_site_fract_z
Pu1 Pu 0.000 0.000 0.000
Nb1 Nb 0.000 0.000 0.500
As1 As 0.500 0.500 0.285